Entry from OQMD via LeMat-Bulk: a geometry-optimized Ta2Co4O9 structure (PBE with a Hubbard U).

## Properties
* VASP energy: -0.5730 Ry per atom

a b c (Å): 5.165 5.165 14.118
angles (deg): 90.00 90.00 120.00
Site moments in Bohr magnetons follow the coordinates.
Sites, in units of the cell vectors:
Co (0.667, 0.333, 0.692)  2.70
O (0.655, 0.679, 0.916)  0.08
O (0.000, 0.289, 0.250)  0.08
O (0.000, 0.711, 0.750)  0.08
Co (0.667, 0.333, 0.192)  2.70
Co (0.333, 0.667, 0.516)  2.71
O (0.976, 0.655, 0.084)  0.08
Co (0.333, 0.667, 0.308)  2.70
Ta (0.000, 0.000, 0.143)  0.08
O (0.345, 0.024, 0.584)  0.08
O (0.711, 0.000, 0.750)  0.08
O (0.679, 0.024, 0.084)  0.09
O (0.024, 0.345, 0.916)  0.08
Ta (0.000, 0.000, 0.357)  0.08
O (0.679, 0.655, 0.584)  0.09
O (0.289, 0.289, 0.750)  0.08
Ta (0.000, 0.000, 0.643)  0.08
Ta (0.000, 0.000, 0.857)  0.08
O (0.711, 0.711, 0.250)  0.08
O (0.976, 0.321, 0.584)  0.09
O (0.655, 0.976, 0.416)  0.08
Co (0.667, 0.333, 0.484)  2.71
O (0.024, 0.679, 0.416)  0.09
O (0.321, 0.976, 0.916)  0.09
Co (0.333, 0.667, 0.808)  2.70
O (0.321, 0.345, 0.416)  0.09
Co (0.667, 0.333, 0.984)  2.71
Co (0.333, 0.667, 0.016)  2.71
O (0.345, 0.321, 0.084)  0.08
O (0.289, 0.000, 0.250)  0.08